[1]
The following is a DFT calculation (GGA+U) of crystalline CrReI2O at its relaxed geometry.

Computed properties:
ΔE to the lowest computed polymorph   0 meV per atom
Space group   P4/mmm
Energy   -5.614 eV/atom
Total moment   4.74 μB per formula unit

a b c (Å): 5.6410 5.6410 3.7771
angles (deg): 90.00 90.00 90.00
Last column: nearest neighbours and their distance in Å.
Atoms (fractional coordinates):
O 0.0000 0.0000 0.5000  2 Re 1.89
Cr 0.5000 0.5000 0.5000  8 I 3.39, 2 Cr 3.78
I 0.5000 0.0000 0.0000  2 Re 2.82
Re 0.0000 0.0000 0.0000  2 O 1.89
I 0.0000 0.5000 0.0000  2 Re 2.82

=====

[2]
The following is a DFT calculation (GGA+U) of crystalline Li3Fe4B4O12 at its relaxed geometry.

Computed properties:
ΔE to the lowest computed polymorph   0 meV per atom
Space group   P1
Energy   -7.008 eV/atom
Total moment   17.00 μB per formula unit

a b c (Å): 5.2413 5.2552 10.1597
angles (deg): 91.08 89.82 119.75
Last column: nearest neighbours and their distance in Å.
Atoms (fractional coordinates):
Li 0.9894 0.6603 0.0999  4 O 1.97-2.18
Fe 0.6876 0.6803 0.3724  4 O 1.97-2.15
Fe 0.6684 0.9939 0.1187  4 O 2.00-2.22
O 0.0728 0.3412 0.1347  1 B 1.38
Li 0.9749 0.3238 0.8346  4 O 1.92-2.04
O 0.5963 0.5792 0.1555  1 B 1.40
O 0.9430 0.2295 0.6416  1 B 1.37
O 0.6672 0.9257 0.9025  1 B 1.39
B 0.3432 0.0049 0.3702  3 O 1.37-1.42
Li 0.0240 0.3505 0.3389  4 O 1.91-2.09
O 0.0897 0.7418 0.3564  1 B 1.37
B 0.3301 0.3296 0.1224  3 O 1.38-1.40
O 0.6141 0.0331 0.3384  1 B 1.39
O 0.9084 0.6382 0.8881  1 B 1.38
O 0.3239 0.0731 0.0804  1 B 1.39
O 0.6294 0.7250 0.5792  1 B 1.38
Fe 0.3093 0.9913 0.8678  5 O 2.01-2.20
B 0.6670 0.9911 0.6248  3 O 1.37-1.39
O 0.3301 0.2561 0.4155  1 B 1.42
O 0.4225 0.0166 0.6576  1 B 1.39
Fe 0.3409 0.3260 0.6172  4 O 1.90-2.07
O 0.3964 0.4212 0.8253  1 B 1.41
B 0.6602 0.6632 0.8713  3 O 1.38-1.41